A plane-wave DFT calculation with GGA-PBEsol was carried out for crystalline Fe2TcPt at its relaxed geometry.

Calculated values
**Space group**: I-4m2 (119)
**Polymorph energy (0 for the lowest one)**: 0.00 eV/f.u.
**Energy of formation**: -33 meV per atom
**Final energy**: -36.3 eV per cell

Cell lengths 4.566, 4.566, 4.566 Å; angles 132.91, 132.91, 68.80 degrees
Atoms (fractional coordinates):
Fe 0.000 0.000 0.000
Fe 0.750 0.250 0.500
Tc 0.500 0.500 0.000
Pt 0.250 0.750 0.500

---

A plane-wave DFT calculation with GGA-PBEsol was carried out for crystalline K3BeC at its relaxed geometry.

Calculated values
**Space group**: Pm-3m (221)
**Energy of formation**: 1393 meV per atom
**Final energy**: -10.1 eV per cell

Cell lengths 5.644, 5.644, 5.644 Å; angles 90.00, 90.00, 90.00 degrees
Atoms (fractional coordinates):
K 0.000 0.000 0.500
K 0.000 0.500 0.000
K 0.500 0.000 0.000
Be 0.500 0.500 0.500
C 0.000 0.000 0.000

---

A plane-wave DFT calculation with GGA-PBEsol was carried out for crystalline Mn2IrCl at its relaxed geometry.

Calculated values
**Space group**: Pm (6)
**Polymorph energy (0 for the lowest one)**: 0.04 eV/f.u.
**Final energy**: -30.3 eV per cell

Cell lengths 2.865, 2.889, 7.084 Å; angles 90.00, 101.50, 90.00 degrees
Atoms (fractional coordinates):
Mn 0.000 0.000 0.000
Mn 0.383 0.500 0.762
Ir 0.786 0.000 0.566
Cl 0.622 0.500 0.238

---

A plane-wave DFT calculation with GGA-PBEsol was carried out for crystalline MgZrBr2 at its relaxed geometry.

Calculated values
**Space group**: Fm-3m (225)
**Polymorph energy (0 for the lowest one)**: 1.37 eV/f.u.
**Final energy**: -15.8 eV per cell

Cell lengths 4.856, 4.856, 4.856 Å; angles 60.00, 60.00, 60.00 degrees
Atoms (fractional coordinates):
Mg 0.000 0.000 0.000
Zr 0.500 0.500 0.500
Br 0.250 0.250 0.250
Br 0.750 0.750 0.750

---

A plane-wave DFT calculation with GGA-PBEsol was carried out for crystalline ZnOsCl2 at its relaxed geometry.

Calculated values
**Space group**: C2/m (12)
**Polymorph energy (0 for the lowest one)**: 1.45 eV/f.u.
**Final energy**: -15.1 eV per cell

Cell lengths 5.056, 5.056, 3.020 Å; angles 104.67, 104.67, 111.62 degrees
Atoms (fractional coordinates):
Zn 0.000 0.000 0.000
Os 0.500 0.500 0.000
Cl 0.000 0.500 0.000
Cl 0.500 0.000 0.000

---

A plane-wave DFT calculation with GGA-PBEsol was carried out for crystalline Rb3Sc2Br9 at its relaxed geometry.

Calculated values
**Space group**: P6_3/mmc (194)
**Final energy**: -115.6 eV per cell

Cell lengths 7.463, 7.463, 18.959 Å; angles 90.00, 90.00, 120.00 degrees
Atoms (fractional coordinates):
Rb 0.000 0.000 0.250
Rb 0.000 0.000 0.750
Rb 0.333 0.667 0.068
Rb 0.333 0.667 0.432
Rb 0.667 0.333 0.568
Rb 0.667 0.333 0.932
Sc 0.333 0.667 0.656
Sc 0.333 0.667 0.844
Sc 0.667 0.333 0.156
Sc 0.667 0.333 0.344
Br 0.012 0.506 0.750
Br 0.166 0.331 0.586
Br 0.166 0.331 0.914
Br 0.166 0.834 0.586
Br 0.166 0.834 0.914
Br 0.331 0.166 0.086
Br 0.331 0.166 0.414
Br 0.494 0.506 0.750
Br 0.494 0.988 0.750
Br 0.506 0.012 0.250
Br 0.506 0.494 0.250
Br 0.669 0.834 0.586
Br 0.669 0.834 0.914
Br 0.834 0.166 0.086
Br 0.834 0.166 0.414
Br 0.834 0.669 0.086
Br 0.834 0.669 0.414
Br 0.988 0.494 0.250

---

A plane-wave DFT calculation with GGA-PBEsol was carried out for crystalline SiBr2Cl at its relaxed geometry.

Calculated values
**Space group**: P4/mmm (123)
**Polymorph energy (0 for the lowest one)**: 3.10 eV/f.u.
**Final energy**: -10.4 eV per cell

Cell lengths 4.117, 4.117, 5.171 Å; angles 90.00, 90.00, 90.00 degrees
Atoms (fractional coordinates):
Si 0.000 0.000 0.000
Br 0.000 0.500 0.500
Br 0.500 0.000 0.500
Cl 0.500 0.500 0.000

---

A plane-wave DFT calculation with GGA-PBEsol was carried out for crystalline RbFeO2 at its relaxed geometry.

Calculated values
**Space group**: Pna2_1 (33)
**Final energy**: -102.7 eV per cell

Cell lengths 5.747, 8.263, 5.733 Å; angles 90.00, 90.00, 90.00 degrees
Atoms (fractional coordinates):
Rb 0.038 0.122 0.000
Rb 0.462 0.622 0.500
Rb 0.538 0.378 0.000
Rb 0.962 0.878 0.500
Fe 0.041 0.625 0.019
Fe 0.459 0.125 0.519
Fe 0.541 0.875 0.019
Fe 0.959 0.375 0.519
O 0.002 0.558 0.331
O 0.149 0.194 0.471
O 0.351 0.694 0.971
O 0.498 0.058 0.831
O 0.502 0.942 0.331
O 0.649 0.306 0.471
O 0.851 0.806 0.971
O 0.998 0.442 0.831

---

> Which of these has the lowest final energy?

Rb3Sc2Br9